DFT (GGA-PBE) results for an optimized crystal structure of Sc2B6Rh.

a b c (Å): 8.925 11.204 3.463
angles (deg): 90.00 90.00 90.00
Fractional positions:
1 Sc 0.056 0.126 0.000
2 Sc 0.181 0.414 0.000
3 Sc 0.319 0.914 0.000
4 Sc 0.444 0.626 0.000
5 Sc 0.556 0.374 0.000
6 Sc 0.681 0.086 0.000
7 Sc 0.819 0.586 0.000
8 Sc 0.944 0.874 0.000
9 B 0.021 0.287 0.500
10 B 0.053 0.564 0.500
11 B 0.103 0.972 0.500
12 B 0.131 0.819 0.500
13 B 0.204 0.238 0.500
14 B 0.247 0.078 0.500
15 B 0.253 0.578 0.500
16 B 0.296 0.738 0.500
17 B 0.369 0.319 0.500
18 B 0.397 0.472 0.500
19 B 0.447 0.064 0.500
20 B 0.479 0.787 0.500
21 B 0.521 0.213 0.500
22 B 0.553 0.936 0.500
23 B 0.603 0.528 0.500
24 B 0.631 0.681 0.500
25 B 0.704 0.262 0.500
26 B 0.747 0.422 0.500
27 B 0.753 0.922 0.500
28 B 0.796 0.762 0.500
29 B 0.869 0.181 0.500
30 B 0.897 0.028 0.500
31 B 0.947 0.436 0.500
32 B 0.979 0.713 0.500
33 Rh 0.140 0.680 0.000
34 Rh 0.360 0.180 0.000
35 Rh 0.640 0.820 0.000
36 Rh 0.860 0.320 0.000

Summary:
Its space-group type is Pbam (55). The total energy comes out at -266.5 eV/cell. As for the density of states at the Fermi level: 2.96 states/eV/f.u. For the energy of formation from the pure elements, the calculation gives -70.08 kJ/mol of atoms.

***

DFT (GGA-PBE) results for an optimized crystal structure of Sc3B7Rh.

a b c (Å): 7.649 7.649 9.037
angles (deg): 90.00 90.00 154.84
Fractional positions:
1 Sc 0.108 0.892 0.557
2 Sc 0.108 0.892 0.943
3 Sc 0.249 0.751 0.250
4 Sc 0.751 0.249 0.750
5 Sc 0.892 0.108 0.057
6 Sc 0.892 0.108 0.443
7 B 0.272 0.728 0.532
8 B 0.272 0.728 0.968
9 B 0.366 0.634 0.651
10 B 0.366 0.634 0.849
11 B 0.444 0.556 0.250
12 B 0.484 0.516 0.594
13 B 0.484 0.516 0.906
14 B 0.516 0.484 0.094
15 B 0.516 0.484 0.406
16 B 0.556 0.444 0.750
17 B 0.634 0.366 0.151
18 B 0.634 0.366 0.349
19 B 0.728 0.272 0.032
20 B 0.728 0.272 0.468
21 Rh 0.051 0.949 0.250
22 Rh 0.949 0.051 0.750

Summary:
Its space-group type is Cmcm (63). The total energy comes out at -162.2 eV/cell. As for the density of states at the Fermi level: 2.57 states/eV/f.u. For the energy of formation from the pure elements, the calculation gives -70.42 kJ/mol of atoms.

***

DFT (GGA-PBE) results for an optimized crystal structure of ScBRh.

a b c (Å): 3.122 4.503 6.090
angles (deg): 95.44 104.67 90.02
Fractional positions:
1 Sc 0.000 0.000 0.000
2 Sc 0.262 0.807 0.529
3 B 0.182 0.280 0.369
4 B 0.655 0.091 0.313
5 Rh 0.586 0.542 0.174
6 Rh 0.822 0.347 0.653

Summary:
Its space-group type is P1 (1). The total energy comes out at -44.4 eV/cell. The energy above the lowest structure with this stoichiometry comes out at 10.3 kJ/mol of atoms. As for the density of states at the Fermi level: 0.76 states/eV/f.u. For the energy of formation from the pure elements, the calculation gives -59.20 kJ/mol of atoms.

***

DFT (GGA-PBE) results for an optimized crystal structure of ScB2RhSe.

a b c (Å): 4.051 4.051 4.916
angles (deg): 90.00 90.00 90.00
Fractional positions:
1 Sc 0.000 0.000 0.000
2 B 0.000 0.500 0.500
3 B 0.500 0.000 0.500
4 Rh 0.500 0.500 0.000
5 Se 0.000 0.000 0.500

Summary:
Its space-group type is P4/mmm (123). The calculation puts the formation energy (no corrections) at 6.004 eV/f.u. The total energy comes out at -24.5 eV/cell. As for the density of states at the Fermi level: 2.28 states/eV/f.u.

***

DFT (GGA-PBE) results for an optimized crystal structure of Sc2SiB2Rh5.

a b c (Å): 9.181 9.181 3.121
angles (deg): 90.00 90.00 90.00
Fractional positions:
1 Sc 0.175 0.325 0.000
2 Sc 0.325 0.825 0.000
3 Sc 0.675 0.175 0.000
4 Sc 0.825 0.675 0.000
5 Si 0.000 0.000 0.000
6 Si 0.500 0.500 0.000
7 B 0.124 0.624 0.000
8 B 0.376 0.124 0.000
9 B 0.624 0.876 0.000
10 B 0.876 0.376 0.000
11 Rh 0.000 0.500 0.500
12 Rh 0.071 0.788 0.500
13 Rh 0.212 0.071 0.500
14 Rh 0.288 0.571 0.500
15 Rh 0.429 0.288 0.500
16 Rh 0.500 0.000 0.500
17 Rh 0.571 0.712 0.500
18 Rh 0.712 0.429 0.500
19 Rh 0.788 0.929 0.500
20 Rh 0.929 0.212 0.500

Summary:
Its space-group type is P4/mbm (127). The calculation puts the formation energy (no corrections) at -9.146 eV/f.u. The total energy comes out at -154.7 eV/cell. As for the density of states at the Fermi level: 2.53 states/eV/f.u.

***

DFT (GGA-PBE) results for an optimized crystal structure of Sc3SiB2Rh9.

a b c (Å): 5.957 5.957 7.326
angles (deg): 90.00 90.00 120.00
Fractional positions:
1 Sc 0.000 0.000 0.000
2 Sc 0.333 0.667 0.667
3 Sc 0.667 0.333 0.333
4 Si 0.000 0.000 0.500
5 B 0.333 0.667 0.151
6 B 0.667 0.333 0.849
7 Rh 0.000 0.500 0.000
8 Rh 0.174 0.349 0.320
9 Rh 0.174 0.826 0.320
10 Rh 0.349 0.174 0.680
11 Rh 0.500 0.000 0.000
12 Rh 0.500 0.500 0.000
13 Rh 0.651 0.826 0.320
14 Rh 0.826 0.174 0.680
15 Rh 0.826 0.651 0.680

Summary:
Its space-group type is P-3m1 (164). The calculation puts the formation energy (no corrections) at -10.279 eV/f.u. The total energy comes out at -114.2 eV/cell. As for the density of states at the Fermi level: 11.60 states/eV/f.u.

***

Values of total magnetic moment, in order: 0.0; 0.0; 0.0; 0.0; 0.0; 0.0, all in Bohr magnetons per cell.